Material: LiTeIr2
Method: DFT, PBE
State: optimized geometry

POSCAR file:
```
LiTeIr2
1.0
4.5091 0.0000 0.0000
2.2546 3.9050 0.0000
2.2546 1.3017 3.6817
Ir Li Te
2 1 1
direct
0.0000 0.0000 0.0000
0.2500 0.2500 0.2500
0.5000 0.5000 0.5000
0.7500 0.7500 0.7500
```


Material: LiTe2Ir
Method: DFT, PBE
State: optimized geometry

POSCAR file:
```
LiTe2Ir
1.0
5.4248 0.0000 0.0000
0.0000 3.3398 -0.0003
0.0000 0.0000 4.5421
Ir Li Te
1 1 2
direct
0.0000 0.3754 0.4495
0.5000 0.8742 0.8040
0.0000 0.8754 0.9329
0.5000 0.3750 0.3135
```


Material: LiTeIr3
Method: DFT, PBE
State: optimized geometry

POSCAR file:
```
LiTeIr3
1.0
-1.7575 -2.8341 2.6759
1.8556 -3.1897 -2.1596
3.4278 0.2736 2.5411
Ir Te Li
3 1 1
direct
0.0000 0.5000 0.0000
0.0000 0.0000 0.5000
0.5000 0.0000 0.0000
0.5000 0.5000 0.5000
0.0000 0.0000 0.0000
```


Looking at energy for the records above, in order, we have -5.45, -4.39, -5.39 eV/atom.
Looking at calculated volume for the records above, in order, we have 16.2, 20.6, 15.6 A^3/atom.